DFT (GGA-PBE) results for MgNbAs2 after structural relaxation.

Lattice parameters (Å, degrees): 6.064 6.064 7.235 65.22 65.22 90.00
Element x y z (fractional)
Mg 0.250 0.750 0.500
Mg 0.500 0.500 0.000
As 0.104 0.625 0.250
As 0.646 0.125 0.250
As 0.375 0.354 0.750
As 0.875 0.896 0.750
Nb 0.000 0.000 0.000
Nb 0.750 0.250 0.500

Values from the calculation:
Its volume is 26.78 A^3/atom. The value obtained for the density of states at the Fermi level is 5.74 states/eV/cell. The value obtained for the total DFT energy (no corrections) is -5.361 eV per atom. The calculation puts the energy of formation from the pure elements at -46 kJ/mol of formula units.



DFT (GGA-PBE) results for CsNa2YCl6 after structural relaxation.

Lattice parameters (Å, degrees): 7.302 7.303 7.935 62.61 62.60 59.98
Element x y z (fractional)
Cl 0.263 0.942 0.222
Cl 0.572 0.263 0.222
Cl 0.725 0.202 0.758
Cl 0.942 0.573 0.222
Cl 0.315 0.725 0.758
Cl 0.202 0.315 0.758
Cs 0.792 0.792 0.624
Y 0.326 0.326 0.021
Na 0.522 0.522 0.435
Na 0.002 0.002 0.994

Values from the calculation:
Its volume is 31.04 A^3/atom. The value obtained for the density of states at the Fermi level is 0.00 states/eV/cell. The formation energy without anion corrections is -2.045 eV per atom. The value obtained for the total DFT energy (no corrections) is -4.149 eV per atom.



DFT (GGA-PBE) results for LaSm2DyTl4 after structural relaxation.

Lattice parameters (Å, degrees): 5.482 5.482 9.529 73.28 73.28 60.00
Element x y z (fractional)
Sm 0.249 0.249 0.252
Sm 0.751 0.751 0.748
Tl 0.127 0.127 0.619
Tl 0.623 0.623 0.132
Tl 0.873 0.873 0.381
Tl 0.377 0.377 0.868
La 0.000 0.000 0.000
Dy 0.500 0.500 0.500

Values from the calculation:
Its volume is 29.24 A^3/atom. The value obtained for the density of states at the Fermi level is 7.73 states/eV/cell. The value obtained for the total DFT energy (no corrections) is -3.925 eV per atom. The calculation puts the energy of formation from the pure elements at -287 kJ/mol of formula units.



DFT (GGA-PBE) results for TmZn6Ni4 after structural relaxation.

Lattice parameters (Å, degrees): 6.299 6.299 6.299 88.63 120.79 120.79
Element x y z (fractional)
Ni 0.669 0.406 0.406
Ni 0.000 0.263 0.594
Ni 0.331 0.737 0.737
Ni 0.000 0.594 0.263
Zn 0.622 0.105 0.105
Zn 0.000 0.895 0.517
Zn 0.500 0.500 0.000
Zn 0.378 0.483 0.483
Zn 0.000 0.517 0.895
Zn 0.500 0.000 0.500
Tm 0.000 0.000 0.000

Values from the calculation:
Its volume is 15.87 A^3/atom. The value obtained for the density of states at the Fermi level is 6.30 states/eV/cell. The value obtained for the total DFT energy (no corrections) is -3.359 eV per atom. The calculation puts the energy of formation from the pure elements at -165 kJ/mol of formula units.



DFT (GGA-PBE) results for Dy4TlH after structural relaxation.

Lattice parameters (Å, degrees): 5.346 8.720 8.623 90.00 90.00 128.61
Element x y z (fractional)
Tl 0.260 0.509 0.250
Tl 0.740 0.491 0.750
H 0.089 0.923 0.250
H 0.911 0.077 0.750
Dy 0.979 0.732 0.442
Dy 0.306 0.053 0.750
Dy 0.021 0.268 0.558
Dy 0.979 0.732 0.058
Dy 0.487 0.237 0.250
Dy 0.694 0.947 0.250
Dy 0.513 0.763 0.750
Dy 0.021 0.268 0.942

Values from the calculation:
Its volume is 26.18 A^3/atom. The value obtained for the density of states at the Fermi level is 8.17 states/eV/cell. The value obtained for the total DFT energy (no corrections) is -4.213 eV per atom.



DFT (GGA-PBE) results for HoThCu2Si2 after structural relaxation.

Lattice parameters (Å, degrees): 4.130 4.130 7.856 90.00 90.00 120.00
Element x y z (fractional)
Si 0.667 0.333 0.759
Si 0.333 0.667 0.241
Th 0.000 0.000 0.500
Ho 0.000 0.000 0.000
Cu 0.667 0.333 0.242
Cu 0.333 0.667 0.758

Values from the calculation:
Its volume is 19.34 A^3/atom. The value obtained for the density of states at the Fermi level is 2.80 states/eV/cell. The formation energy without anion corrections is -0.662 eV per atom. The value obtained for the total DFT energy (no corrections) is -5.835 eV per atom.



DFT (GGA-PBE) results for Sm2MnSiPt6 after structural relaxation.

Lattice parameters (Å, degrees): 5.640 8.073 8.073 40.89 69.55 90.00
Element x y z (fractional)
Pt 0.237 0.253 0.016
Pt 0.253 0.747 0.984
Pt 0.763 0.747 0.984
Pt 0.747 0.253 0.016
Pt 0.747 0.763 0.506
Pt 0.253 0.237 0.494
Sm 0.705 0.295 0.590
Sm 0.295 0.705 0.410
Si 0.500 0.500 0.000
Mn 0.000 0.000 0.000

Values from the calculation:
Its volume is 20.35 A^3/atom. The value obtained for the density of states at the Fermi level is 2.75 states/eV/cell. The formation energy without anion corrections is -0.781 eV per atom. The value obtained for the total DFT energy (no corrections) is -6.808 eV per atom.



DFT (GGA-PBE) results for Ta2Hg3 after structural relaxation.

Lattice parameters (Å, degrees): 13.256 13.256 13.256 13.16 13.16 13.16
Element x y z (fractional)
Hg 0.000 0.000 0.000
Hg 0.594 0.594 0.594
Hg 0.406 0.406 0.406
Ta 0.802 0.802 0.802
Ta 0.198 0.198 0.198

Values from the calculation:
Its volume is 20.99 A^3/atom. The calculation puts the energy above the most stable polymorph in this dataset at 0.32 eV per formula unit. The value obtained for the density of states at the Fermi level is 4.95 states/eV/cell. The value obtained for the total DFT energy (no corrections) is -4.570 eV per atom. The calculation puts the energy of formation from the pure elements at 170 kJ/mol of formula units.